Compound: SrRuWF2
Source: the Alexandria database
Functional: PBE+U
Structure: relaxed

Summary:
**Fermi-level density of states**: 1.598 states/eV per atom
**Magnetic moment**: 5.30 μB/f.u.
**Uncorrected energy**: -24.25 eV/f.u.

```
data_SrRuWF2
_cell_length_a 4.3623
_cell_length_b 4.3623
_cell_length_c 7.5634
_cell_angle_alpha 90.00
_cell_angle_beta 90.00
_cell_angle_gamma 90.00
_symmetry_space_group_name_H-M 'P 4/m m m'
_symmetry_Int_Tables_number 123
_symmetry_space_group_name_Hall '-P 4 2'
loop_
_atom_site_label
_atom_site_type_symbol
_atom_site_fract_x
_atom_site_fract_y
_atom_site_fract_z
Sr1 Sr 0.0000 0.0000 0.0000
Ru1 Ru 0.0000 0.0000 0.5000
W1 W 0.5000 0.5000 0.5000
F1 F 0.0000 0.5000 0.0000
```